1.
A plane-wave DFT calculation with GGA-PBE was carried out for a relaxed structure of CdNiBiBr2.

Computed properties:
* space-group type: P4/mmm, No. 123

abc: 5.8600 5.0436 5.8600
angles: 90.00 90.00 90.00
Fractional positions:
Cd (0.5000, 0.5000, 0.5000)
Ni (0.0000, 0.5000, 0.0000)
Bi (0.0000, 0.0000, 0.0000)
Br (0.5000, 0.0000, 0.0000)
Br (0.0000, 0.0000, 0.5000)

---

2.
A plane-wave DFT calculation with GGA-PBE was carried out for a relaxed structure of CdBiBrO2.

Computed properties:
* space-group type: I4mm, No. 107

abc: 6.9739 6.9739 6.9739
angles: 146.97 146.97 47.42
Fractional positions:
O (0.2520, 0.7520, 0.5000)
O (0.7520, 0.2520, 0.5000)
Cd (0.8424, 0.8424, 0.0000)
Bi (0.1681, 0.1681, 0.0000)
Br (0.4856, 0.4856, 0.0000)

---

3.
A plane-wave DFT calculation with GGA-PBE was carried out for a relaxed structure of CdBi2PdBr.

Computed properties:
* space-group type: P4/mmm, No. 123

abc: 5.3655 5.3223 5.3655
angles: 90.00 90.00 90.00
Fractional positions:
Pd (0.0000, 0.0000, 0.0000)
Br (0.5000, 0.5000, 0.5000)
Bi (0.5000, 0.0000, 0.0000)
Bi (0.0000, 0.0000, 0.5000)
Cd (0.0000, 0.5000, 0.0000)

---

no.,energy (eV/atom),ΔE_f (raw) (eV/atom)
1,-2.536,0.25
2,-4.334,-1.06
3,-3.067,0.04